Compound: Ba2InBMo
Source: the Alexandria database
Functional: GGA-PBEsol
Structure: relaxed

Lattice parameters (Å, degrees): 5.9047 5.9047 4.1558 90.00 90.00 90.00
Element x y z (fractional)
Ba 0.0000 0.5000 0.0000
Ba 0.5000 0.0000 0.0000
In 0.0000 0.0000 0.5000
B 0.5000 0.5000 0.5000
Mo 0.5000 0.5000 0.0000

Formation enthalpy at 0 K, meV/atom: 764
Volume, Å³/cell: 144.9
Space-group type: P4/mmm
Electronic total energy, Ry per atom: -0.327